# ZrAs2PbBr (PBE-GGA, relaxed)
data_ZrAs2PbBr
_chemical_formula_sum 'Zr1 As2 Pb1 Br1'
_space_group_name_H-M_alt 'P 1'
_space_group_IT_number 1
_cell_length_a 5.3389
_cell_length_b 5.3389
_cell_length_c 5.4460
_cell_angle_alpha 90.00
_cell_angle_beta 90.00
_cell_angle_gamma 90.00
loop_
_space_group_symop_operation_xyz
'x,y,z'
loop_
_atom_site_label
_atom_site_fract_x
_atom_site_fract_y
_atom_site_fract_z
As1 0.5000 0.0000 0.0000
As2 0.0000 0.5000 0.0000
Zr1 0.5000 0.5000 0.5000
Pb1 0.0000 0.0000 0.0000
Br1 0.0000 0.0000 0.5000
# Energy above the lowest structure with this stoichiometry (meV per atom): 1055
# Total DFT energy (no corrections) (eV per cell): -19.01

# ZrAsPbBr2 (PBE-GGA, relaxed)
data_ZrAsPbBr2
_chemical_formula_sum 'Zr1 As1 Pb1 Br2'
_space_group_name_H-M_alt 'P 1'
_space_group_IT_number 1
_cell_length_a 5.2688
_cell_length_b 5.2688
_cell_length_c 5.3957
_cell_angle_alpha 90.00
_cell_angle_beta 90.00
_cell_angle_gamma 90.00
loop_
_space_group_symop_operation_xyz
'x,y,z'
loop_
_atom_site_label
_atom_site_fract_x
_atom_site_fract_y
_atom_site_fract_z
Zr1 0.0000 0.0000 0.0000
Br1 0.0000 0.5000 0.0000
Br2 0.5000 0.0000 0.0000
As1 0.0000 0.0000 0.5000
Pb1 0.5000 0.5000 0.5000
# Energy above the lowest structure with this stoichiometry (meV per atom): 0
# Total DFT energy (no corrections) (eV per cell): -22.25

# ZrAs2PbBr (PBE-GGA, relaxed)
data_ZrAs2PbBr
_chemical_formula_sum 'Zr1 As2 Pb1 Br1'
_space_group_name_H-M_alt 'P 1'
_space_group_IT_number 1
_cell_length_a 5.2562
_cell_length_b 5.2562
_cell_length_c 5.2999
_cell_angle_alpha 90.00
_cell_angle_beta 90.00
_cell_angle_gamma 90.00
loop_
_space_group_symop_operation_xyz
'x,y,z'
loop_
_atom_site_label
_atom_site_fract_x
_atom_site_fract_y
_atom_site_fract_z
As1 0.0000 0.5000 0.0000
As2 0.5000 0.0000 0.0000
Br1 0.0000 0.0000 0.5000
Pb1 0.5000 0.5000 0.5000
Zr1 0.0000 0.0000 0.0000
# Energy above the lowest structure with this stoichiometry (meV per atom): 0
# Total DFT energy (no corrections) (eV per cell): -24.29

# As2Pd2Br (PBE-GGA, relaxed)
data_As2Pd2Br
_chemical_formula_sum 'As2 Pd2 Br1'
_space_group_name_H-M_alt 'P 1'
_space_group_IT_number 1
_cell_length_a 3.9464
_cell_length_b 3.9464
_cell_length_c 7.5938
_cell_angle_alpha 74.94
_cell_angle_beta 74.94
_cell_angle_gamma 90.00
loop_
_space_group_symop_operation_xyz
'x,y,z'
loop_
_atom_site_label
_atom_site_fract_x
_atom_site_fract_y
_atom_site_fract_z
Pd1 0.7500 0.2500 0.5000
Pd2 0.2500 0.7500 0.5000
As1 0.3609 0.3609 0.2783
As2 0.6391 0.6391 0.7217
Br1 0.0000 0.0000 0.0000
# Total DFT energy (no corrections) (eV per cell): -22.14

# As2PdBr (PBE-GGA, relaxed)
data_As2PdBr
_chemical_formula_sum 'As2 Pd1 Br1'
_space_group_name_H-M_alt 'P 1'
_space_group_IT_number 1
_cell_length_a 4.7553
_cell_length_b 4.7553
_cell_length_c 4.7553
_cell_angle_alpha 60.00
_cell_angle_beta 60.00
_cell_angle_gamma 60.00
loop_
_space_group_symop_operation_xyz
'x,y,z'
loop_
_atom_site_label
_atom_site_fract_x
_atom_site_fract_y
_atom_site_fract_z
Br1 0.0000 0.0000 0.0000
As1 0.2500 0.2500 0.2500
As2 0.7500 0.7500 0.7500
Pd1 0.5000 0.5000 0.5000
# Energy above the lowest structure with this stoichiometry (meV per atom): 282
# Total DFT energy (no corrections) (eV per cell): -14.29

# AsPdBr3 (PBE-GGA, relaxed)
data_AsPdBr3
_chemical_formula_sum 'As1 Pd1 Br3'
_space_group_name_H-M_alt 'P 1'
_space_group_IT_number 1
_cell_length_a 5.1438
_cell_length_b 5.1438
_cell_length_c 5.1438
_cell_angle_alpha 90.00
_cell_angle_beta 90.00
_cell_angle_gamma 90.00
loop_
_space_group_symop_operation_xyz
'x,y,z'
loop_
_atom_site_label
_atom_site_fract_x
_atom_site_fract_y
_atom_site_fract_z
Br1 0.5000 0.0000 0.0000
Br2 0.0000 0.0000 0.5000
Br3 0.0000 0.5000 0.0000
Pd1 0.0000 0.0000 0.0000
As1 0.5000 0.5000 0.5000
# Total DFT energy (no corrections) (eV per cell): -13.28

# AsPdBr (PBE-GGA, relaxed)
data_AsPdBr
_chemical_formula_sum 'As4 Pd4 Br4'
_space_group_name_H-M_alt 'P 1'
_space_group_IT_number 1
_cell_length_a 7.6968
_cell_length_b 7.6968
_cell_length_c 5.6709
_cell_angle_alpha 77.04
_cell_angle_beta 77.04
_cell_angle_gamma 112.61
loop_
_space_group_symop_operation_xyz
'x,y,z'
loop_
_atom_site_label
_atom_site_fract_x
_atom_site_fract_y
_atom_site_fract_z
Br1 0.1411 0.3811 0.4847
Br2 0.5551 0.7357 0.0844
Br3 0.7357 0.5551 0.5844
Br4 0.3811 0.1411 0.9847
Pd1 0.8396 0.0549 0.7758
Pd2 0.7420 0.3349 0.0184
Pd3 0.0549 0.8396 0.2758
Pd4 0.3349 0.7420 0.5184
As1 0.1180 0.9224 0.6518
As2 0.6222 0.0664 0.4670
As3 0.0664 0.6222 0.9670
As4 0.9224 0.1180 0.1518
# Total DFT energy (no corrections) (eV per cell): -47.53

# As2PdBr (PBE-GGA, relaxed)
data_As2PdBr
_chemical_formula_sum 'As4 Pd2 Br2'
_space_group_name_H-M_alt 'P 1'
_space_group_IT_number 1
_cell_length_a 6.3864
_cell_length_b 6.3864
_cell_length_c 7.0388
_cell_angle_alpha 63.02
_cell_angle_beta 63.02
_cell_angle_gamma 90.00
loop_
_space_group_symop_operation_xyz
'x,y,z'
loop_
_atom_site_label
_atom_site_fract_x
_atom_site_fract_y
_atom_site_fract_z
Br1 0.2500 0.7500 0.5000
Br2 0.5000 0.5000 0.0000
As1 0.3750 0.3056 0.7500
As2 0.6944 0.1250 0.2500
As3 0.0556 0.6250 0.2500
As4 0.8750 0.9444 0.7500
Pd1 0.0000 0.0000 0.0000
Pd2 0.7500 0.2500 0.5000
# Energy above the lowest structure with this stoichiometry (meV per atom): 0
# Total DFT energy (no corrections) (eV per cell): -30.83